# 1
A geometry-optimized Fe2SnI8 structure, computed with PBE.

Summary:
* ΔE_f (raw): -0.2618 eV per atom
* E_tot: -0.24194 Ry/atom

CIF file:
```
data_Fe2SnI8
_cell_length_a 8.903
_cell_length_b 8.903
_cell_length_c 7.205
_cell_angle_alpha 95.09
_cell_angle_beta 95.09
_cell_angle_gamma 74.05
_space_group_name_H-M_alt 'P 1'
_space_group_IT_number 1
_space_group_name_Hall 'P 1'
loop_
_atom_site_label
_atom_site_type_symbol
_atom_site_fract_x
_atom_site_fract_y
_atom_site_fract_z
Fe1 Fe 0.193 0.193 0.144
Fe2 Fe 0.807 0.807 0.856
Sn1 Sn 0.000 0.000 0.500
I1 I 0.086 0.704 0.741
I2 I 0.190 0.190 0.786
I3 I 0.296 0.914 0.259
I4 I 0.364 0.364 0.275
I5 I 0.636 0.636 0.725
I6 I 0.704 0.086 0.741
I7 I 0.810 0.810 0.214
I8 I 0.914 0.296 0.259
```

=====

# 2
A geometry-optimized Fe4SnI12 structure, computed with PBE.

Summary:
* N(E_F): 17.91 states/eV/f.u.
* ΔE_f (raw): -0.0421 eV per atom
* E_tot: -0.24718 Ry/atom

CIF file:
```
data_Fe4SnI12
_cell_length_a 9.303
_cell_length_b 9.303
_cell_length_c 9.303
_cell_angle_alpha 111.50
_cell_angle_beta 108.51
_cell_angle_gamma 108.43
_space_group_name_H-M_alt 'P 1'
_space_group_IT_number 1
_space_group_name_Hall 'P 1'
loop_
_atom_site_label
_atom_site_type_symbol
_atom_site_fract_x
_atom_site_fract_y
_atom_site_fract_z
Fe1 Fe 0.000 0.000 0.500
Fe2 Fe 0.000 0.500 0.000
Fe3 Fe 0.500 0.000 0.000
Fe4 Fe 0.500 0.500 0.500
Sn1 Sn 0.000 0.000 0.000
I1 I 0.001 0.688 0.313
I2 I 0.253 0.182 0.435
I3 I 0.253 0.818 0.071
I4 I 0.257 0.075 0.819
I5 I 0.257 0.438 0.181
I6 I 0.375 0.688 0.687
I7 I 0.625 0.312 0.313
I8 I 0.743 0.562 0.819
I9 I 0.743 0.925 0.181
I10 I 0.747 0.182 0.929
I11 I 0.747 0.818 0.565
I12 I 0.999 0.312 0.687
```

=====

# 3
A geometry-optimized Fe2SnI6 structure, computed with PBE.

Summary:
* N(E_F): 2.05 states/eV/f.u.
* ΔE_f (raw): -0.2224 eV per atom
* E_tot: -0.26321 Ry/atom

CIF file:
```
data_Fe2SnI6
_cell_length_a 10.578
_cell_length_b 10.578
_cell_length_c 7.603
_cell_angle_alpha 103.68
_cell_angle_beta 103.68
_cell_angle_gamma 85.06
_space_group_name_H-M_alt 'P 1'
_space_group_IT_number 1
_space_group_name_Hall 'P 1'
loop_
_atom_site_label
_atom_site_type_symbol
_atom_site_fract_x
_atom_site_fract_y
_atom_site_fract_z
Fe1 Fe 0.033 0.869 0.583
Fe2 Fe 0.131 0.967 0.917
Fe3 Fe 0.869 0.033 0.083
Fe4 Fe 0.967 0.131 0.417
Sn1 Sn 0.424 0.576 0.750
Sn2 Sn 0.576 0.424 0.250
I1 I 0.069 0.186 0.148
I2 I 0.135 0.657 0.446
I3 I 0.186 0.069 0.648
I4 I 0.310 0.438 0.006
I5 I 0.343 0.865 0.054
I6 I 0.438 0.310 0.506
I7 I 0.562 0.690 0.494
I8 I 0.657 0.135 0.946
I9 I 0.690 0.562 0.994
I10 I 0.814 0.931 0.352
I11 I 0.865 0.343 0.554
I12 I 0.931 0.814 0.852
```

=====

no.,density (Mg/m³)
1,3.79
2,5.00
3,4.10